Compound: TmHf2Se
Source: Alexandria via LeMat-Bulk
Functional: GGA-PBE
Structure: optimized geometry

Results
Size of the total moment: 0.00 μB per formula unit
Volume: 23.94 Å³ per atom
Space-group type: R-3m, No. 166
N(E_F): 5.901 states/eV/f.u.
Raw total energy: -0.5155 Ry/atom

Cell: 10.3478 10.3478 10.3478 Å, 18.33 18.33 18.33°
With the nearest neighbours (Å) after each atom.
Atoms (fractional coordinates):
Tm  0.0000  0.0000  0.0000  2 Hf 3.12, 6 Tm 3.30
Hf  0.1024  0.1024  0.1024  3 Se 2.73
Hf  0.8976  0.8976  0.8976  3 Se 2.73
Se  0.5000  0.5000  0.5000  6 Hf 2.73



Compound: BiSO2
Source: Alexandria via LeMat-Bulk
Functional: GGA-PBE
Structure: optimized geometry

Results
Size of the total moment: 0.00 μB per formula unit
Volume: 15.92 Å³ per atom
Space-group type: I-42d, No. 122
N(E_F): 2.056 states/eV/f.u.
ΔE to the lowest computed polymorph: 0.950 eV per atom
Raw total energy: -0.3342 Ry/atom

Cell: 7.6358 7.6358 7.6358 Å, 147.60 147.60 46.47°
With the nearest neighbours (Å) after each atom.
Atoms (fractional coordinates):
Bi  0.0000  0.0000  0.0000  4 O 2.37
Bi  0.7500  0.2500  0.5000  4 O 2.37
S  0.2500  0.7500  0.5000  4 O 2.26
S  0.5000  0.5000  0.0000  4 O 2.26
O  0.1524  0.6250  0.0274  2 S 2.26, 2 Bi 2.37
O  0.3750  0.4024  0.5274  2 S 2.26, 2 Bi 2.37
O  0.5976  0.1250  0.9726  2 S 2.26, 2 Bi 2.37
O  0.8750  0.8476  0.4726  2 S 2.26, 2 Bi 2.37



Compound: Pr2ThBi4
Source: Alexandria via LeMat-Bulk
Functional: GGA-PBE
Structure: optimized geometry

Results
Size of the total moment: 0.00 μB per formula unit
Volume: 32.80 Å³ per atom
E_form: -4.98 eV/f.u.
Space-group type: I-42d, No. 122
N(E_F): 4.519 states/eV/f.u.
ΔE to the lowest computed polymorph: 0.000 eV per atom
Raw total energy: -0.3935 Ry/atom

Cell: 8.4191 8.4191 8.4191 Å, 108.93 108.93 110.56°
With the nearest neighbours (Å) after each atom.
Atoms (fractional coordinates):
Pr  0.0013  0.1250  0.3763  8 Bi 3.31-3.47
Pr  0.3750  0.9987  0.1237  8 Bi 3.31-3.47
Pr  0.7487  0.6250  0.6237  8 Bi 3.31-3.47
Pr  0.8750  0.2513  0.8763  8 Bi 3.31-3.47
Th  0.2500  0.7500  0.5000  8 Bi 3.33-3.34
Th  0.5000  0.5000  0.0000  8 Bi 3.33-3.34
Bi  0.1285  0.5329  0.7457  4 Pr 3.31-3.47, 2 Th 3.33-3.34, 2 Bi 3.56-3.65
Bi  0.1329  0.0372  0.7543  4 Pr 3.31-3.47, 2 Th 3.33-3.34, 2 Bi 3.56-3.65
Bi  0.2829  0.3785  0.2457  4 Pr 3.31-3.47, 2 Th 3.33-3.34, 2 Bi 3.56-3.65
Bi  0.4671  0.2128  0.5956  4 Pr 3.31-3.47, 2 Th 3.33-3.34, 2 Bi 3.56-3.65
Bi  0.6171  0.8715  0.4044  4 Pr 3.31-3.47, 2 Th 3.33-3.34, 2 Bi 3.56-3.65
Bi  0.6215  0.8671  0.9044  4 Pr 3.31-3.47, 2 Th 3.33-3.34, 2 Bi 3.56-3.65
Bi  0.7872  0.3829  0.2543  4 Pr 3.31-3.47, 2 Th 3.33-3.34, 2 Bi 3.56-3.65
Bi  0.9628  0.7171  0.0956  4 Pr 3.31-3.47, 2 Th 3.33-3.34, 2 Bi 3.56-3.65



Compound: Ba6GeO2
Source: Alexandria via LeMat-Bulk
Functional: GGA-PBE
Structure: optimized geometry

Results
Size of the total moment: 0.35 μB per formula unit
Volume: 40.57 Å³ per atom
Space-group type: C2/m, No. 12
N(E_F): 4.770 states/eV/f.u.
Raw total energy: -0.3010 Ry/atom

Cell: 8.1011 8.1011 10.8695 Å, 126.04 126.04 41.16°
With the nearest neighbours (Å) after each atom.
Atoms (fractional coordinates):
Ba  0.0161  0.0161  0.3200  1 O 2.55
Ba  0.2858  0.2858  0.1426  3 O 2.62-2.85
Ba  0.3446  0.3446  0.7921  1 O 2.61
Ba  0.6554  0.6554  0.2079  1 O 2.61
Ba  0.7142  0.7142  0.8574  3 O 2.62-2.85
Ba  0.9839  0.9839  0.6800  1 O 2.55
Ge  0.0000  0.0000  0.0000  8 Ba 3.33-3.57
O  0.1986  0.1986  0.8442  3 Ba 2.55-2.62
O  0.8014  0.8014  0.1558  3 Ba 2.55-2.62



Compound: VTe2BrN
Source: Alexandria via LeMat-Bulk
Functional: GGA-PBE
Structure: optimized geometry

Results
Size of the total moment: 3.25 μB per formula unit
Volume: 24.08 Å³ per atom
Space-group type: P4/mmm, No. 123
N(E_F): 5.756 states/eV/f.u.
ΔE to the lowest computed polymorph: 1.324 eV per atom
Raw total energy: -0.2641 Ry/atom

Cell: 5.7223 5.7223 3.6772 Å, 90.00 90.00 90.00°
With the nearest neighbours (Å) after each atom.
Atoms (fractional coordinates):
V  0.0000  0.0000  0.0000  8 Te 3.40, 2 V 3.68
Te  0.0000  0.5000  0.5000  2 Br 2.86
Te  0.5000  0.0000  0.5000  2 Br 2.86
Br  0.5000  0.5000  0.5000  2 N 1.84
N  0.5000  0.5000  0.0000  2 Br 1.84



Compound: PaHgBi2
Source: Alexandria via LeMat-Bulk
Functional: GGA-PBE
Structure: optimized geometry

Results
Size of the total moment: 0.00 μB per formula unit
Volume: 27.04 Å³ per atom
E_form: -0.61 eV/f.u.
Space-group type: P4/mmm, No. 123
N(E_F): 2.909 states/eV/f.u.
ΔE to the lowest computed polymorph: 0.000 eV per atom
Raw total energy: -0.3338 Ry/atom

Cell: 5.0223 5.0223 4.2878 Å, 90.00 90.00 90.00°
With the nearest neighbours (Å) after each atom.
Atoms (fractional coordinates):
Pa  0.0000  0.0000  0.0000  8 Bi 3.30, 4 Hg 3.55
Hg  0.5000  0.5000  0.0000  8 Bi 3.30, 4 Pa 3.55
Bi  0.0000  0.5000  0.5000  4 Hg 3.30, 4 Pa 3.30, 4 Bi 3.55
Bi  0.5000  0.0000  0.5000  4 Hg 3.30, 4 Pa 3.30, 4 Bi 3.55



Compound: KMnCdCl5
Source: Alexandria via LeMat-Bulk
Functional: GGA-PBE
Structure: optimized geometry

Results
Size of the total moment: 5.00 μB per formula unit
Volume: 29.18 Å³ per atom
Space-group type: C2/c, No. 15
N(E_F): 0.000 states/eV/f.u.
Raw total energy: -0.2841 Ry/atom

Cell: 7.4576 7.4576 9.5104 Å, 103.10 103.10 107.20°
With the nearest neighbours (Å) after each atom.
Atoms (fractional coordinates):
K  0.1568  0.8432  0.7500  5 Cl 3.15-3.25
K  0.8432  0.1568  0.2500  5 Cl 3.15-3.25
Mn  0.1848  0.8152  0.2500  4 Cl 2.36-2.37
Mn  0.8152  0.1848  0.7500  4 Cl 2.36-2.37
Cd  0.5000  0.5000  0.0000  6 Cl 2.57-2.76
Cd  0.5000  0.5000  0.5000  6 Cl 2.57-2.76
Cl  0.1169  0.2464  0.9351  1 Mn 2.37
Cl  0.1799  0.5886  0.3874  1 Mn 2.36
Cl  0.2464  0.1169  0.4351  1 Mn 2.37
Cl  0.4114  0.8201  0.1126  1 Mn 2.36
Cl  0.4189  0.5811  0.7500  2 Cd 2.57
Cl  0.5811  0.4189  0.2500  2 Cd 2.57
Cl  0.5886  0.1799  0.8874  1 Mn 2.36
Cl  0.7536  0.8831  0.5649  1 Mn 2.37
Cl  0.8201  0.4114  0.6126  1 Mn 2.36
Cl  0.8831  0.7536  0.0649  1 Mn 2.37



Compound: ZrSc2Mn2
Source: Alexandria via LeMat-Bulk
Functional: GGA-PBE
Structure: optimized geometry

Results
Size of the total moment: 3.52 μB per formula unit
Volume: 19.03 Å³ per atom
E_form: 0.39 eV/f.u.
Space-group type: P4/mbm, No. 127
N(E_F): 7.200 states/eV/f.u.
Raw total energy: -0.5756 Ry/atom

Cell: 6.9518 6.9518 3.9368 Å, 90.00 90.00 90.00°
With the nearest neighbours (Å) after each atom.
Atoms (fractional coordinates):
Zr  0.0000  0.0000  0.0000  4 Mn 2.73
Zr  0.5000  0.5000  0.0000  4 Mn 2.73
Sc  0.1660  0.3340  0.5000  6 Mn 2.82-2.85
Sc  0.3340  0.8340  0.5000  6 Mn 2.82-2.85
Sc  0.6660  0.1660  0.5000  6 Mn 2.82-2.85
Sc  0.8340  0.6660  0.5000  6 Mn 2.82-2.85
Mn  0.1280  0.6280  0.0000  1 Mn 2.52, 2 Zr 2.73
Mn  0.3720  0.1280  0.0000  1 Mn 2.52, 2 Zr 2.73
Mn  0.6280  0.8720  0.0000  1 Mn 2.52, 2 Zr 2.73
Mn  0.8720  0.3720  0.0000  1 Mn 2.52, 2 Zr 2.73



Compound: PrVSn
Source: Alexandria via LeMat-Bulk
Functional: GGA-PBE
Structure: optimized geometry

Results
Size of the total moment: 0.00 μB per formula unit
Volume: 26.31 Å³ per atom
E_form: 0.06 eV/f.u.
Space-group type: P2_1/m, No. 11
N(E_F): 3.530 states/eV/f.u.
Raw total energy: -0.4371 Ry/atom

Cell: 5.4852 4.0765 7.0628 Å, 90.00 91.56 90.00°
With the nearest neighbours (Å) after each atom.
Atoms (fractional coordinates):
Pr  0.1109  0.2500  0.2474  4 V 3.06-3.41, 3 Sn 3.35-3.37
Pr  0.8891  0.7500  0.7526  4 V 3.06-3.41, 3 Sn 3.35-3.37
V  0.4186  0.7500  0.5106  2 V 2.23
V  0.5814  0.2500  0.4894  2 V 2.23
Sn  0.3723  0.2500  0.8245  1 V 2.66
Sn  0.6277  0.7500  0.1755  1 V 2.66



Compound: Y2FeRu
Source: Alexandria via LeMat-Bulk
Functional: GGA-PBE
Structure: optimized geometry

Results
Size of the total moment: 1.92 μB per formula unit
Volume: 21.34 Å³ per atom
E_form: 1.14 eV/f.u.
Space-group type: R-3m, No. 166
N(E_F): 5.513 states/eV/f.u.
Raw total energy: -0.5425 Ry/atom

Cell: 8.5571 8.5571 8.5571 Å, 23.20 23.20 23.20°
With the nearest neighbours (Å) after each atom.
Atoms (fractional coordinates):
Y  0.2472  0.2472  0.2472  3 Ru 2.83, 3 Fe 2.93
Y  0.7528  0.7528  0.7528  3 Ru 2.83, 3 Fe 2.93
Fe  0.0000  0.0000  0.0000  6 Y 2.93
Ru  0.5000  0.5000  0.5000  6 Y 2.83



Compound: Zr6CoRu5
Source: Alexandria via LeMat-Bulk
Functional: GGA-PBE
Structure: optimized geometry

Results
Size of the total moment: 1.15 μB per formula unit
Volume: 17.44 Å³ per atom
E_form: -6.90 eV/f.u.
Space-group type: C2/m, No. 12
N(E_F): 5.702 states/eV/f.u.
Raw total energy: -0.6840 Ry/atom

Cell: 8.0039 8.0039 4.6300 Å, 106.75 106.75 48.03°
With the nearest neighbours (Å) after each atom.
Atoms (fractional coordinates):
Zr  0.0830  0.5856  0.3344  1 Co 2.81, 7 Ru 2.82-2.84
Zr  0.2477  0.7523  0.0000  6 Ru 2.82-2.84, 2 Co 2.82
Zr  0.4144  0.9170  0.6656  1 Co 2.81, 7 Ru 2.82-2.84
Zr  0.5856  0.0830  0.3344  1 Co 2.81, 7 Ru 2.82-2.84
Zr  0.7523  0.2477  0.0000  6 Ru 2.82-2.84, 2 Co 2.82
Zr  0.9170  0.4144  0.6656  1 Co 2.81, 7 Ru 2.82-2.84
Co  0.0000  0.0000  0.5000  8 Zr 2.81-2.82
Ru  0.1668  0.1668  0.1668  8 Zr 2.82-2.84
Ru  0.3336  0.3336  0.8336  8 Zr 2.83-2.84
Ru  0.5000  0.5000  0.5000  8 Zr 2.82-2.84
Ru  0.6664  0.6664  0.1664  8 Zr 2.83-2.84
Ru  0.8332  0.8332  0.8332  8 Zr 2.82-2.84



Compound: SrGeSb2
Source: Alexandria via LeMat-Bulk
Functional: GGA-PBE
Structure: optimized geometry

Results
Size of the total moment: 0.00 μB per formula unit
Volume: 31.80 Å³ per atom
Space-group type: P2/c, No. 13
N(E_F): 1.454 states/eV/f.u.
Raw total energy: -0.2938 Ry/atom

Cell: 6.7441 6.7015 12.9235 Å, 90.00 119.43 90.00°
With the nearest neighbours (Å) after each atom.
Atoms (fractional coordinates):
Sr  0.0893  0.2317  0.1218  6 Sb 3.35-3.46, 2 Ge 3.71-3.72
Sr  0.0893  0.7683  0.6218  6 Sb 3.35-3.46, 2 Ge 3.71-3.72
Sr  0.9107  0.2317  0.3782  6 Sb 3.35-3.46, 2 Ge 3.71-3.72
Sr  0.9107  0.7683  0.8782  6 Sb 3.35-3.46, 2 Ge 3.71-3.72
Ge  0.4838  0.3876  0.6177  4 Sb 2.72-2.83
Ge  0.4838  0.6124  0.1177  4 Sb 2.72-2.83
Ge  0.5162  0.3876  0.8823  4 Sb 2.72-2.83
Ge  0.5162  0.6124  0.3823  4 Sb 2.72-2.83
Sb  0.1440  0.2773  0.6755  2 Ge 2.72-2.83
Sb  0.1440  0.7227  0.1755  2 Ge 2.72-2.83
Sb  0.4591  0.2067  0.4231  2 Ge 2.72-2.83
Sb  0.4591  0.7933  0.9231  2 Ge 2.72-2.83
Sb  0.5409  0.2067  0.0769  2 Ge 2.72-2.83
Sb  0.5409  0.7933  0.5769  2 Ge 2.72-2.83
Sb  0.8560  0.2773  0.8245  2 Ge 2.72-2.83
Sb  0.8560  0.7227  0.3245  2 Ge 2.72-2.83